Entry 1:
PmNd3Fe PBE relaxed; ΔE_f = 207 meV/atom; DOS(E_F) = 9.94 states/eV per cell
1.0
-0.3258 2.0328 -5.0139
4.2437 -3.0197 -1.5001
-3.3560 -4.0158 -1.4101
Pm Nd Fe
1 3 1
Direct
0.5000 0.5000 0.5000
0.5000 0.0000 0.0000
0.0000 0.0000 0.5000
0.0000 0.5000 0.0000
0.0000 0.0000 0.0000

---

Entry 2:
Al3Pd PBE relaxed; ΔE_f = -370 meV/atom; DOS(E_F) = 1.52 states/eV per cell
1.0
3.1608 0.0000 0.0000
0.0000 4.7687 0.0000
-1.5804 -2.3843 4.2235
Al Pd
3 1
Direct
0.2656 0.6059 0.5311
0.5000 0.4612 0.0000
0.7344 0.0747 0.4689
0.0000 0.0248 0.0000

---

Entry 3:
BaTl3 PBE relaxed; ΔE_f = -192 meV/atom; DOS(E_F) = 5.76 states/eV per cell
1.0
6.5653 0.0000 0.0000
0.0000 6.5653 0.0000
0.0000 0.0000 6.5653
Tl Ba
6 2
Direct
0.5000 0.0000 0.7500
0.0000 0.2500 0.5000
0.0000 0.7500 0.5000
0.5000 0.0000 0.2500
0.2500 0.5000 0.0000
0.7500 0.5000 0.0000
0.0000 0.0000 0.0000
0.5000 0.5000 0.5000

---

Entry 4:
ZnFeTe2 PBE relaxed; DOS(E_F) = 5.53 states/eV per cell; formation energy without anion corrections = 65 kJ per mole of atoms
1.0
-3.8890 -2.7570 1.6081
-1.9742 -3.5422 -2.9776
0.6515 -4.8647 1.1051
Te Zn Fe
2 1 1
Direct
0.7500 0.7500 0.7500
0.0000 0.0000 0.0000
0.2500 0.2500 0.2500
0.5000 0.5000 0.5000

---

Entry 5:
Pm4Al16Ir3 PBE relaxed; ΔE_f = -649 meV/atom; DOS(E_F) = 3.25 states/eV per cell
1.0
-4.4022 -4.3490 -0.3588
1.5887 -1.1226 -5.8854
7.4783 -7.8598 3.5179
Pm Al Ir
4 16 3
Direct
0.0000 0.5000 0.8071
0.5000 0.0000 0.1929
0.0000 0.5000 0.1929
0.5000 0.0000 0.8071
0.7514 0.2486 0.3834
0.2486 0.7514 0.6166
0.2486 0.2486 0.6166
0.2486 0.2486 0.3834
0.5000 0.5000 0.8065
0.0000 0.0000 0.2209
0.7514 0.2486 0.6166
0.2486 0.7514 0.3834
0.5000 0.5000 0.1935
0.7514 0.7514 0.3834
0.7162 0.7162 0.0000
0.2838 0.7162 0.0000
0.7162 0.2838 0.0000
0.2838 0.2838 0.0000
0.0000 0.0000 0.7791
0.7514 0.7514 0.6166
0.0000 0.0000 0.0000
0.0000 0.5000 0.5000
0.5000 0.0000 0.5000

---

Entry 6:
Ac3Ta2N6 PBE relaxed; DOS(E_F) = 3.05 states/eV per cell; formation energy without anion corrections = -129 kJ per mole of atoms
1.0
-1.7691 3.5738 1.0871
-3.6168 -1.3379 -1.4874
0.3089 -5.1700 9.6421
N Ta Ac
6 2 3
Direct
0.3060 0.3060 0.6119
0.6940 0.6940 0.3881
0.9134 0.4133 0.8267
0.0866 0.5867 0.1733
0.4134 0.9133 0.8267
0.5866 0.0867 0.1733
0.6008 0.6008 0.2016
0.3992 0.3992 0.7984
0.8186 0.8186 0.6371
0.0000 0.0000 0.0000
0.1814 0.1814 0.3629